Crystalline TlPWO2 at its relaxed geometry, computed with PBE with a Hubbard U.

Calculated values
calculated volume: 90 Å³/cell
calculated total energy: -21.405 eV for the cell shown

a b c (Å): 4.0980 4.0980 5.3846
angles (deg): 90.00 90.00 90.00
Positions (direct):
Tl  0.0000  0.0000  0.0000
P  0.0000  0.0000  0.5000
W  0.5000  0.5000  0.5000
O  0.0000  0.5000  0.0000
O  0.5000  0.0000  0.0000